Entry 1:
The following is a DFT calculation (PBE-GGA) of La8Tc3Cl4F after structural relaxation.

Calculated values
E_tot: -290.05 eV for the cell shown
Theoretical density: 5.81 Mg/m³
Density of states at the Fermi level: 35.215 states/eV/cell
Total magnetic moment: 0.0 μB/cell
Calculated volume: 1342.59 Å³/cell

a = 8.2251 Å, b = 8.2251 Å, c = 22.9146 Å
α = 90.00°, β = 90.00°, γ = 120.00°
With the nearest neighbours (Å) after each atom.
Space group R-3m (No. 166, hexagonal axes)
Inequivalent atoms, fractional coordinates:
La1 0.0000 0.0000 0.2400 [6 per cell]  3 Tc 2.91, 3 Cl 3.19
La2 0.0088 0.5044 0.7668 [18 per cell]  2 Tc 2.80, 1 F 2.87
Tc1 0.0000 0.5000 0.5000 [9 per cell]  6 La 2.80-2.91
Cl1 0.0000 0.0000 0.0000 [3 per cell]  6 La 3.26
Cl2 0.0000 0.5000 0.0000 [9 per cell]  6 La 3.19-3.32
F1 0.0000 0.0000 0.5000 [3 per cell]  6 La 2.87

---

Entry 2:
The following is a DFT calculation (PBE-GGA) of LiPb after structural relaxation.

Calculated values
E_tot: -24.27 eV for the cell shown
Theoretical density: 7.57 Mg/m³
Density of states at the Fermi level: 2.519 states/eV/cell
Total magnetic moment: 0.0 μB/cell
Calculated volume: 187.80 Å³/cell

a = 3.7085 Å, b = 4.8288 Å, c = 10.4873 Å
α = 90.00°, β = 90.00°, γ = 90.00°
With the nearest neighbours (Å) after each atom.
Space group Imma (No. 74)
Inequivalent atoms, fractional coordinates:
Li1 0.0000 0.2500 0.1296 [4 per cell]  6 Pb 3.05-3.17, 2 Li 3.13
Pb1 0.0000 0.2500 0.6153 [4 per cell]  6 Li 3.05-3.17, 2 Pb 3.38

---

Entry 3:
The following is a DFT calculation (PBE-GGA) of Ba3Pb2Br2O4 after structural relaxation.

Calculated values
E_tot: -112.92 eV for the cell shown
Theoretical density: 6.53 Mg/m³
Density of states at the Fermi level: 3.748 states/eV/cell
Total magnetic moment: 0.0 μB/cell
Calculated volume: 534.09 Å³/cell

a = 4.6841 Å, b = 4.6841 Å, c = 24.3421 Å
α = 90.00°, β = 90.00°, γ = 90.00°
With the nearest neighbours (Å) after each atom.
Space group I4/mmm (No. 139)
Inequivalent atoms, fractional coordinates:
Ba1 0.0000 0.0000 0.0000 [2 per cell]  8 O 3.11
Ba2 0.0000 0.0000 0.1525 [4 per cell]  4 O 2.88
Pb1 0.0000 0.0000 0.4299 [4 per cell]  4 O 2.37
Br1 0.0000 0.0000 0.2959 [4 per cell]  1 Pb 3.26, 5 Ba 3.49-3.54
O1 0.0000 0.5000 0.0838 [8 per cell]  2 Pb 2.37

---

Entry 4:
The following is a DFT calculation (PBE-GGA) of K2LaRu after structural relaxation.

Calculated values
E_tot: -29.92 eV for the cell shown
Theoretical density: 3.10 Mg/m³
Density of states at the Fermi level: 5.745 states/eV/cell
Total magnetic moment: 0.0 μB/cell
Calculated volume: 340.89 Å³/cell

a = 4.1728 Å, b = 6.7574 Å, c = 12.0895 Å
α = 90.00°, β = 90.00°, γ = 90.00°
With the nearest neighbours (Å) after each atom.
Space group Imm2 (No. 44)
Inequivalent atoms, fractional coordinates:
K1 0.0000 0.0000 0.0000 [2 per cell]  2 La 3.97, 4 K 3.98-4.17, 4 Ru 4.06
K2 0.0000 0.5000 0.1741 [2 per cell]  2 Ru 3.62, 2 K 3.98
La1 0.0000 0.5000 0.8276 [2 per cell]  2 Ru 2.42
Ru1 0.0000 0.0000 0.4295 [2 per cell]  2 La 2.42

---

Entry 5:
The following is a DFT calculation (PBE-GGA) of Mo2IrRh after structural relaxation.

Calculated values
E_tot: -76.37 eV for the cell shown
Theoretical density: 13.44 Mg/m³
Density of states at the Fermi level: 8.537 states/eV/cell
Total magnetic moment: 0.0 μB/cell
Calculated volume: 120.34 Å³/cell

a = 9.2610 Å, b = 2.7624 Å, c = 4.7765 Å
α = 90.00°, β = 99.99°, γ = 90.00°
With the nearest neighbours (Å) after each atom.
Space group C2/m (No. 12)
Inequivalent atoms, fractional coordinates:
Mo1 0.2487 0.0000 0.2483 [4 per cell]  6 Mo 2.75-2.77, 3 Ir 2.77-2.79, 3 Rh 2.78-2.79
Ir1 0.0000 0.5000 0.0000 [2 per cell]  4 Rh 2.76, 2 Ir 2.76, 6 Mo 2.77-2.79
Rh1 0.0000 0.0000 0.5000 [2 per cell]  4 Ir 2.76, 2 Rh 2.76, 6 Mo 2.78-2.79

---

Entry 6:
The following is a DFT calculation (PBE-GGA) of PaTcC after structural relaxation.

Calculated values
E_tot: -29.07 eV for the cell shown
Theoretical density: 11.62 Mg/m³
Density of states at the Fermi level: 1.977 states/eV/cell
Total magnetic moment: 0.0 μB/cell
Calculated volume: 48.73 Å³/cell

a = 3.4059 Å, b = 3.4059 Å, c = 4.8506 Å
α = 90.00°, β = 90.00°, γ = 120.00°
With the nearest neighbours (Å) after each atom.
Space group P3m1 (No. 156)
Inequivalent atoms, fractional coordinates:
Pa1 0.0000 0.0000 0.0000 [1 per cell]  3 C 2.51
Tc1 0.6667 0.3333 0.5333 [1 per cell]  3 C 2.09
C1 0.3333 0.6667 0.6800 [1 per cell]  3 Tc 2.09